No. 1
VASP calculation (PBE) on an optimized crystal structure of KPt3Se.

Structure (extended XYZ):
```
5
Lattice="4.9700 0.0000 0.0000 0.0000 4.9700 0.0000 0.0000 0.0000 4.9700" Properties=species:S:1:pos:R:3 pbc="T T T"
K 0.0000 0.0000 0.0000
Se 2.4850 2.4850 2.4850
Pt 0.0000 2.4850 0.0000
Pt 0.0000 0.0000 2.4850
Pt 2.4850 0.0000 0.0000
```

## Properties
Its distance to the lowest polymorph of the same formula is 1926 meV per atom. The space-group type is Pm-3m. For the formation energy from raw total energies, the calculation gives 2.16 eV/atom. As for the crystal system: cubic.



No. 2
VASP calculation (PBE) on an optimized crystal structure of YTePt2.

Structure (extended XYZ):
```
4
Lattice="5.5468 -0.0001 0.0000 2.3774 5.0115 0.0000 -3.9621 -2.5057 2.9648" Properties=species:S:1:pos:R:3 pbc="T T T"
Pt 0.0000 0.0000 0.0000
Pt 1.1887 2.5057 1.4824
Te 3.9621 2.5057 0.0000
Y 2.7734 0.0000 1.4824
```

## Properties
Its distance to the lowest polymorph of the same formula is 150 meV per atom. The space-group type is I-4m2. For the formation energy from raw total energies, the calculation gives -0.63 eV/atom. As for the crystal system: tetragonal.



No. 3
VASP calculation (PBE) on an optimized crystal structure of CeMgPb.

Structure (extended XYZ):
```
3
Lattice="-0.4286 3.4647 0.7834 -3.4636 -0.5827 0.6821 3.3844 -2.6760 5.5156" Properties=species:S:1:pos:R:3 pbc="T T T"
Pb 0.8530 -0.7324 3.7055
Mg -0.6858 0.3589 6.2080
Ce -1.6143 1.1561 2.1742
```

## Properties
The space-group type is I4mm. The value obtained for the formation energy is -13 kJ per mole of atoms. As for the crystal system: tetragonal.



No. 4
VASP calculation (PBE) on an optimized crystal structure of CrCd2W.

Structure (extended XYZ):
```
4
Lattice="5.2156 -0.0063 0.0111 4.4303 2.7523 0.0111 0.8118 0.2311 4.9229" Properties=species:S:1:pos:R:3 pbc="T T T"
Cd 0.8293 0.2361 4.9167
Cd 5.2114 1.4836 2.4788
Cr 7.8433 2.2329 3.7088
W 2.6144 0.7443 1.2363
```

## Properties
Its distance to the lowest polymorph of the same formula is 295 meV per atom. The space-group type is C2/m. The value obtained for the formation energy is 64 kJ per mole of atoms. As for the crystal system: monoclinic.



No. 5
VASP calculation (PBE) on an optimized crystal structure of Dy3AlRh3.

Structure (extended XYZ):
```
14
Lattice="-0.6145 -1.0680 -3.8718 1.8612 -4.2994 3.0225 -12.8709 -3.4638 2.9983" Properties=species:S:1:pos:R:3 pbc="T T T"
Dy -10.8747 -5.0466 3.1180
Dy -0.7496 -3.7846 -0.9690
Dy -7.1771 -4.0515 2.2567
Dy -4.4472 -4.7797 -0.1077
Dy -8.1676 -7.2188 3.2875
Dy -3.4567 -1.6125 -1.1385
Al -0.3073 -0.5340 -1.9359
Al -6.7427 -2.2659 -0.4367
Rh -10.7535 -7.7198 1.7042
Rh -0.8708 -1.1115 0.4448
Rh -6.5787 -6.5962 0.7317
Rh -5.0456 -2.2350 1.4173
Rh -9.1704 -5.5894 0.8653
Rh -2.4539 -3.2418 1.2837
```

## Properties
The space-group type is Cmcm. The value obtained for the formation energy is -86 kJ per mole of atoms. As for the crystal system: orthorhombic.



No. 6
VASP calculation (PBE) on an optimized crystal structure of Dy6SiAs2Se3.

Structure (extended XYZ):
```
12
Lattice="-3.7670 -1.5620 -0.4720 3.1961 -6.5605 -3.7967 1.8034 -1.6369 8.8777" Properties=species:S:1:pos:R:3 pbc="T T T"
Dy 2.8648 -7.6302 2.3872
Dy -0.0678 -5.3801 0.4928
Dy -1.6324 -2.1293 2.2217
Dy 0.7625 -1.5741 -0.8765
Dy 0.4699 -8.1854 5.4855
Dy 1.3002 -4.3794 4.1162
Si -1.8835 -0.7810 -0.2360
As 0.1914 -6.7592 2.9881
As 1.0410 -3.0003 1.6208
Se -0.2855 -4.0613 -2.1344
Se -1.4014 -3.4844 4.8633
Se 2.6338 -6.2751 -0.2543
```

## Properties
The space-group type is C2/m. For the formation energy from raw total energies, the calculation gives -1.59 eV/atom. As for the crystal system: monoclinic.



No. 7
VASP calculation (PBE) on an optimized crystal structure of Li2NiAs.

Structure (extended XYZ):
```
4
Lattice="4.5909 0.0007 -0.0481 -2.0763 4.0945 -0.0481 0.0290 0.0472 2.8822" Properties=species:S:1:pos:R:3 pbc="T T T"
As -1.0237 2.0709 1.4171
Li 0.0000 0.0000 0.0000
Li 1.2573 2.0476 -0.0481
Ni 2.3099 0.0240 1.4171
```

## Properties
The space-group type is Cmmm. The value obtained for the formation energy is -25 kJ per mole of atoms. As for the crystal system: orthorhombic.



No. 8
VASP calculation (PBE) on an optimized crystal structure of Li4AgBi5.

Structure (extended XYZ):
```
10
Lattice="-0.5278 -1.7133 -2.9229 -2.5248 -1.7737 1.4956 -13.4279 14.1596 -5.8754" Properties=species:S:1:pos:R:3 pbc="T T T"
Li -2.7571 2.9074 -1.2064
Li -5.3822 5.6754 -2.3550
Li -8.0458 8.4841 -3.5204
Li -10.6708 11.2522 -4.6690
Ag 0.0000 0.0000 0.0000
Bi -2.9130 -0.2812 -1.3204
Bi -5.5750 2.5257 -2.4851
Bi -8.2402 5.3363 -3.6513
Bi -10.9055 8.1468 -4.8175
Bi -13.5674 10.9537 -5.9823
```

## Properties
The space-group type is P4/mmm. The value obtained for the formation energy is -27 kJ per mole of atoms. As for the crystal system: tetragonal.



No. 9
VASP calculation (PBE) on an optimized crystal structure of ZrTaSi2Se.

Structure (extended XYZ):
```
5
Lattice="4.7816 0.0000 0.0000 0.0000 4.6737 0.0000 0.0000 0.0000 4.7816" Properties=species:S:1:pos:R:3 pbc="T T T"
Si 0.0000 0.0000 2.3908
Si 2.3908 0.0000 0.0000
Se 0.0000 0.0000 0.0000
Zr 2.3908 2.3369 2.3908
Ta 0.0000 2.3369 0.0000
```

## Properties
The space-group type is P4/mmm. For the formation energy from raw total energies, the calculation gives 0.92 eV/atom. As for the crystal system: tetragonal.



No. 10
VASP calculation (PBE) on an optimized crystal structure of Li2SnHg.

Structure (extended XYZ):
```
4
Lattice="3.3465 0.0000 0.0000 0.0000 3.3465 0.0000 0.0000 0.0000 6.8703" Properties=species:S:1:pos:R:3 pbc="T T T"
Li 0.0000 0.0000 5.2141
Li 0.0000 0.0000 1.6562
Hg 1.6732 1.6732 0.0000
Sn 1.6732 1.6732 3.4352
```

## Properties
Its distance to the lowest polymorph of the same formula is 0 meV per atom. The space-group type is P4/mmm. The value obtained for the formation energy is -33 kJ per mole of atoms. As for the crystal system: tetragonal.



No. 11
VASP calculation (PBE) on an optimized crystal structure of SiRu2Se.

Structure (extended XYZ):
```
4
Lattice="-0.3263 -0.5206 2.9362 0.5143 -2.9194 -0.4604 6.1407 0.9477 0.8504" Properties=species:S:1:pos:R:3 pbc="T T T"
Ru 5.9773 0.9225 0.8277
Ru 3.2337 0.4991 0.4478
Se 1.6292 -1.4831 1.4505
Si 4.6995 -1.0092 1.8757
```

## Properties
Its distance to the lowest polymorph of the same formula is 0 meV per atom. The space-group type is P4/mmm. For the formation energy from raw total energies, the calculation gives -0.18 eV/atom. As for the crystal system: tetragonal.



No. 12
VASP calculation (PBE) on an optimized crystal structure of Y5AlAu4.

Structure (extended XYZ):
```
10
Lattice="3.5922 0.0000 0.0000 0.0000 3.5922 0.0000 0.0000 0.0000 18.2219" Properties=species:S:1:pos:R:3 pbc="T T T"
Y 1.7961 1.7961 1.8533
Y 1.7961 1.7961 5.4652
Y 1.7961 1.7961 9.1110
Y 1.7961 1.7961 12.7567
Y 1.7961 1.7961 16.3686
Al 0.0000 0.0000 0.0000
Au 0.0000 0.0000 3.6116
Au 0.0000 0.0000 7.3111
Au 0.0000 0.0000 10.9108
Au 0.0000 0.0000 14.6103
```

## Properties
The space-group type is P4/mmm. The value obtained for the formation energy is -74 kJ per mole of atoms. As for the crystal system: tetragonal.



Fermi-level density of states? In order: 8.6, 3.1, 6.4, 3.4, 4.0, 3.4, 2.0, 4.0, 4.1, 1.3, 1.8, 5.6 states/eV/f.u..
Total DFT energy (no corrections)? In order: -2.38, -6.05, -3.88, -5.44, -6.55, -5.99, -3.82, -3.27, -6.03, -2.38, -7.05, -5.69 eV/atom.